Below is AcTm2F8 after structural relaxation, with properties calculated at the PBE level.

Output
Electronic total energy (eV/f.u.): -70.9
Spin magnetization (μB/f.u.): 0.0
Formation energy from raw total energies (eV per atom): -3.90

abc: 6.940 10.462 4.264
angles: 90.00 105.34 90.00
Space group C2/m (No. 12)
Asymmetric unit:
1 Ac 0.000 0.000 0.000
2 Tm 0.000 0.321 0.500
3 F 0.000 0.252 0.000
4 F 0.109 0.500 0.785
5 F 0.187 0.133 0.561